(1)
Nd2ZnRe after structural relaxation. Source: Alexandria via LeMat-Bulk, functional PBE.

Properties
DFT total energy in eV for the cell shown: -19.98

Cell and atoms, written as extended XYZ:
```
4
Lattice="3.142 0.000 0.000 1.571 2.721 0.000 1.571 0.907 10.994" Properties=species:S:1:pos:R:3 pbc="T T T"
Nd 4.713 2.721 2.821
Nd 1.571 0.907 8.173
Re 0.000 0.000 0.000
Zn 3.142 1.814 5.497
```

(2)
PmNdTm2Mg after structural relaxation. Source: Alexandria via LeMat-Bulk, functional PBE.

Properties
DFT total energy in eV for the cell shown: -39.81

Cell and atoms, written as extended XYZ:
```
10
Lattice="-2.541 1.430 -4.015 -3.425 -2.569 4.320 -1.724 9.959 4.638" Properties=species:S:1:pos:R:3 pbc="T T T"
Mg -6.081 2.651 1.727
Mg -1.609 6.169 3.215
Tm -4.247 4.144 4.164
Tm -3.089 8.879 5.117
Tm -3.443 4.676 0.778
Tm -4.601 -0.059 -0.175
Nd -1.976 2.049 -1.086
Nd -5.714 6.771 6.028
Pm -2.754 1.633 2.325
Pm -4.936 7.187 2.618
```

(3)
Rb2TlCrS4 after structural relaxation. Source: Alexandria via LeMat-Bulk, functional PBE.

Properties
Raw formation energy in eV per atom: -0.71

Cell and atoms, written as extended XYZ:
```
16
Lattice="-0.198 -1.966 6.800 -5.238 -4.703 2.175 7.121 -10.154 0.958" Properties=species:S:1:pos:R:3 pbc="T T T"
Rb 4.465 -6.780 1.857
Rb 3.450 -12.277 5.768
Rb -1.863 -5.529 7.565
Rb 2.459 -5.340 5.901
S 0.502 -11.158 8.350
S 5.360 -10.543 3.139
S -0.363 -2.971 4.160
S -0.842 -8.041 4.523
S 1.976 -14.567 8.249
S -3.603 -5.564 4.318
S 1.156 -5.932 2.507
S 2.554 -8.514 4.485
Tl 0.793 -8.903 6.666
Tl 0.000 0.000 0.000
Cr 0.892 -7.920 3.267
Cr -0.099 -0.983 3.400
```

(4)
HfCrNi2Rh after structural relaxation. Source: Alexandria via LeMat-Bulk, functional PBE.

Properties
DFT total energy in eV for the cell shown: -31.10

Cell and atoms, written as extended XYZ:
```
5
Lattice="4.431 0.000 0.000 0.000 4.687 0.000 0.000 0.000 4.431" Properties=species:S:1:pos:R:3 pbc="T T T"
Rh 2.216 2.343 2.216
Hf 0.000 0.000 0.000
Ni 0.000 0.000 2.216
Ni 2.216 0.000 0.000
Cr 0.000 2.343 0.000
```

It is found that the total magnetization values, taken in the order of the records, are 0.0758; 0.0000; 0.1250; 0.7830 μB/atom.